Record 1
Material: CePmDy2Er
Method: DFT, GGA-PBE
State: optimized geometry

a = 7.1452 Å, b = 7.7761 Å, c = 5.8678 Å
α = 90.00°, β = 90.00°, γ = 90.00°
Each line ends with the local moment (μB).
Sites, in units of the cell vectors:
Dy 0.3202 0.2916 0.2500  0.06
Ce 0.0000 0.0000 0.0000  1.02
Er 0.3898 0.0000 0.7500  0.12
Dy 0.6798 0.7084 0.7500  0.06
Ce 0.0000 0.0000 0.5000  1.02
Er 0.6102 0.0000 0.2500  0.12
Pm 0.1628 0.5000 0.7500  0.01
Dy 0.3202 0.7084 0.2500  0.06
Pm 0.8372 0.5000 0.2500  0.01
Dy 0.6798 0.2916 0.7500  0.06

- Symmetry: Pmma, No. 51
- Formation enthalpy at 0 K: 0.2883 eV per atom
- Theoretical density: 7919 kg/m³
- Fermi-level density of states: 9.7 states/eV/f.u.

Record 2
Material: KTiCu2S4
Method: DFT, GGA-PBE
State: optimized geometry

a = 6.2250 Å, b = 6.2250 Å, c = 6.2250 Å
α = 119.57°, β = 119.57°, γ = 90.75°
Sites, in units of the cell vectors:
K 0.5000 0.5000 0.0000
S 0.3648 0.9628 0.0000
S 0.6352 0.6352 0.5979
S 0.9628 0.3648 0.0000
Cu 0.2500 0.7500 0.5000
S 0.0372 0.0372 0.4021
Ti 0.0000 0.0000 0.0000
Cu 0.7500 0.2500 0.5000

- Symmetry: I-42m, No. 121
- Theoretical density: 3311 kg/m³
- Raw formation energy: -731.9 meV/atom
- Fermi-level density of states: 6.1 states/eV/f.u.

Record 3
Material: CeZrZnIn
Method: DFT, GGA-PBE
State: optimized geometry

a = 3.1672 Å, b = 3.1672 Å, c = 8.8094 Å
α = 90.00°, β = 90.00°, γ = 90.00°
Sites, in units of the cell vectors:
Zr 0.5000 0.5000 0.3409
Ce 0.5000 0.5000 0.8026
Zn 0.0000 0.0000 0.5536
In 0.0000 0.0000 0.0875

- Symmetry: P4mm, No. 99
- Formation enthalpy at 0 K: -0.2859 eV per atom
- Theoretical density: 7734 kg/m³
- Fermi-level density of states: 4.6 states/eV/f.u.
- Distance to the lowest polymorph of the same formula: 0 meV per atom

Record 4
Material: CoNi2As
Method: DFT, GGA-PBE
State: optimized geometry

a = 4.4583 Å, b = 4.4583 Å, c = 4.4583 Å
α = 132.76°, β = 132.76°, γ = 69.03°
Each line ends with the local moment (μB).
Sites, in units of the cell vectors:
Ni 0.0000 0.0000 0.0000  0.48
Co 0.7500 0.2500 0.5000  1.31
As 0.2500 0.7500 0.5000  0.03
Ni 0.5000 0.5000 0.0000  0.48

- Symmetry: I4/mmm, No. 139
- Formation enthalpy at 0 K: -0.0301 eV per atom
- Theoretical density: 8898 kg/m³
- Fermi-level density of states: 5.3 states/eV/f.u.

Record 5
Material: TbCe2Te2S2
Method: DFT, GGA-PBE
State: optimized geometry

a = 5.1156 Å, b = 5.1156 Å, c = 8.8238 Å
α = 106.85°, β = 106.85°, γ = 90.00°
Each line ends with the local moment (μB).
Sites, in units of the cell vectors:
Ce 0.6151 0.6151 0.2302  1.21
Te 0.8135 0.8135 0.6270  -0.02
Tb 0.0000 0.0000 0.0000  0.04
Te 0.1865 0.1865 0.3730  -0.02
S 0.5000 0.0000 0.0000  -0.02
Ce 0.3849 0.3849 0.7698  1.21
S 0.0000 0.5000 0.0000  -0.02

- Symmetry: I4/mmm, No. 139
- Theoretical density: 5980 kg/m³
- Raw formation energy: -1495.5 meV/atom
- Fermi-level density of states: 14.6 states/eV/f.u.

Record 6
Material: Pm3In2Hg
Method: DFT, GGA-PBE
State: optimized geometry

a = 3.7011 Å, b = 3.7011 Å, c = 12.3488 Å
α = 90.00°, β = 90.00°, γ = 90.00°
Sites, in units of the cell vectors:
In 0.5000 0.5000 0.8299
Pm 0.0000 0.0000 0.3362
Hg 0.5000 0.5000 0.5000
In 0.5000 0.5000 0.1701
Pm 0.0000 0.0000 0.6638
Pm 0.0000 0.0000 0.0000

- Symmetry: P4/mmm, No. 123
- Formation enthalpy at 0 K: -0.4893 eV per atom
- Theoretical density: 8493 kg/m³
- Fermi-level density of states: 4.4 states/eV/f.u.